Density functional theory data (GGA-PBE) for a relaxed structure of Ho6Er19Tm4.

Unit cell a=12.2855 b=12.2855 c=12.2855 alpha=90.00 beta=90.00 gamma=90.00
Space group I23 (No. 197)
Unique sites:
Ho 0.0000 0.3713 0.5000 [12 per cell]
Er 0.0000 0.0000 0.0000 [2 per cell]
Er 0.0000 0.0000 0.2616 [12 per cell]
Er 0.0640 0.2607 0.2767 [24 per cell]
Tm 0.1783 0.1783 0.8217 [8 per cell]

Computed properties:
DOS(E_F), states/eV/cell: 89.5
VASP energy, eV/atom: -4.16
Magnetic moment, μB per formula unit: 0.0
Formation enthalpy at 0 K, kJ/mol of formula units: 1099

Density functional theory data (GGA-PBE) for a relaxed structure of YCo2Cl.

Unit cell a=3.6188 b=5.1550 c=7.6514 alpha=90.00 beta=90.00 gamma=90.00
Space group Imm2 (No. 44)
Unique sites:
Y 0.0000 0.0000 0.0000 [2 per cell]
Co 0.0000 0.0000 0.5253 [2 per cell]
Co 0.0000 0.5000 0.1888 [2 per cell]
Cl 0.0000 0.5000 0.8073 [2 per cell]

Computed properties:
DOS(E_F), states/eV/cell: 4.7
VASP energy, eV/atom: -5.64
Energy above the lowest structure with this stoichiometry, kJ/mol of formula units: 157
Magnetic moment, μB per formula unit: 2.1
Raw formation energy, meV/atom: -9

Density functional theory data (GGA-PBE) for a relaxed structure of Np2Cl4F3.

Unit cell a=15.0736 b=3.8451 c=7.1010 alpha=90.00 beta=106.78 gamma=90.00
Space group C2/m (No. 12)
Unique sites:
Np 0.1041 0.0000 0.4321 [4 per cell]
Cl 0.0705 0.0000 0.8044 [4 per cell]
Cl 0.2276 0.5000 0.6807 [4 per cell]
F 0.0000 0.5000 0.5000 [2 per cell]
F 0.1068 0.5000 0.2618 [4 per cell]

Computed properties:
DOS(E_F), states/eV/cell: 23.3
VASP energy, eV/atom: -6.70
Magnetic moment, μB per formula unit: 7.0
Raw formation energy, meV/atom: -2378

Question: Among the records above, which one has the lowest DOS(E_F)?
Answer: YCo2Cl

Copy entry 3 word for word.
Density functional theory data (GGA-PBE) for a relaxed structure of Np2Cl4F3.

Unit cell a=15.0736 b=3.8451 c=7.1010 alpha=90.00 beta=106.78 gamma=90.00
Space group C2/m (No. 12)
Unique sites:
Np 0.1041 0.0000 0.4321 [4 per cell]
Cl 0.0705 0.0000 0.8044 [4 per cell]
Cl 0.2276 0.5000 0.6807 [4 per cell]
F 0.0000 0.5000 0.5000 [2 per cell]
F 0.1068 0.5000 0.2618 [4 per cell]

Computed properties:
DOS(E_F), states/eV/cell: 23.3
VASP energy, eV/atom: -6.70
Magnetic moment, μB per formula unit: 7.0
Raw formation energy, meV/atom: -2378

Question: What is the DOS(E_F) in the third record?
Answer: 23.3 states/eV/cell

Question: Which of these has the highest DOS(E_F)?
Answer: Ho6Er19Tm4